[1]
Sr3Li8Pb | GGA-PBE | optimized geometry

Unit cell a=6.0443 b=6.0443 c=11.0474 alpha=74.12 beta=74.12 gamma=60.00
Positions (direct):
Sr1 0.6217 0.6217 0.1350
Sr2 0.0129 0.0129 0.9614
Sr3 0.4921 0.4921 0.5236
Li1 0.5681 0.0617 0.8022
Li2 0.0612 0.5502 0.3273
Li3 0.5681 0.5681 0.8022
Li4 0.0612 0.0612 0.3273
Li5 0.8106 0.8106 0.5683
Li6 0.3148 0.3148 0.0556
Li7 0.0617 0.5681 0.8022
Li8 0.5502 0.0612 0.3273
Pb1 0.1275 0.1275 0.6175

Summary:
DFT total energy	-2.080	eV per atom
ρ	2.6	g/cm³
crystal system	trigonal

[2]
KMoS3 | GGA-PBE | optimized geometry

Unit cell a=4.7732 b=4.7732 c=4.7732 alpha=90.00 beta=90.00 gamma=90.00
Positions (direct):
S1 0.0000 0.5000 0.0000
S2 0.0000 0.0000 0.5000
S3 0.5000 0.0000 0.0000
Mo1 0.0000 0.0000 0.0000
K1 0.5000 0.5000 0.5000

Summary:
DFT total energy	-5.437	eV per atom
ρ	3.5	g/cm³
ΔE to the lowest computed polymorph	72	meV/atom
crystal system	cubic

[3]
Y2CoAu | GGA-PBE | optimized geometry

Unit cell a=3.4667 b=3.4308 c=7.9350 alpha=64.43 beta=90.00 gamma=90.00
Last column: magnetic moment on the atom in μB.
Positions (direct):
Y1 0.0000 0.0193 0.9808  -0.08
Y2 0.0000 0.4807 0.5192  -0.08
Co1 0.5000 0.7500 0.7500  0.89
Au1 0.5000 0.2500 0.2500  0.01

Summary:
DFT total energy	-6.310	eV per atom
ρ	8.5	g/cm³
crystal system	orthorhombic

[4]
Np2Co3P4Pd | GGA-PBE | optimized geometry

Unit cell a=3.9760 b=3.9760 c=9.2440 alpha=90.00 beta=90.00 gamma=90.00
Last column: magnetic moment on the atom in μB.
Positions (direct):
Np1 0.5000 0.0000 0.2379  3.39
Np2 0.0000 0.5000 0.7621  3.39
Co1 0.0000 0.0000 0.5000  0.88
Co2 0.5000 0.0000 0.8920  -0.04
Co3 0.0000 0.5000 0.1080  -0.04
P1 0.5000 0.5000 0.0000  -0.04
P2 0.0000 0.0000 0.0000  -0.04
P3 0.5000 0.0000 0.6511  -0.02
P4 0.0000 0.5000 0.3489  -0.02
Pd1 0.5000 0.5000 0.5000  0.11

Summary:
DFT total energy	-8.121	eV per atom
ρ	10.0	g/cm³
crystal system	tetragonal

[5]
Hf2NbPb | GGA-PBE | optimized geometry

Unit cell a=3.2793 b=3.2793 c=9.8843 alpha=80.45 beta=80.45 gamma=60.00
Positions (direct):
Pb1 0.5000 0.5000 0.5000
Nb1 0.0000 0.0000 0.0000
Hf1 0.2558 0.2558 0.2326
Hf2 0.7442 0.7442 0.7674

Summary:
DFT total energy	-8.286	eV per atom
ρ	12.1	g/cm³
crystal system	trigonal

[6]
NaPt | GGA-PBE | optimized geometry

Unit cell a=3.2827 b=3.2827 c=3.2827 alpha=90.00 beta=90.00 gamma=90.00
Positions (direct):
Na1 0.0000 0.0000 0.0000
Pt1 0.5000 0.5000 0.5000

Summary:
DFT total energy	-3.500	eV per atom
ρ	10.2	g/cm³
crystal system	cubic